Record 1
The following is a PBE calculation of a relaxed structure of Cs2MgIr, from Alexandria via LeMat-Bulk.

```
data_Cs2MgIr
_space_group_name_H-M_alt 'P 1'
_space_group_IT_number 1
_space_group_name_Hall 'P 1'
_cell_length_a 9.279
_cell_length_b 9.279
_cell_length_c 13.088
_cell_angle_alpha 90.00
_cell_angle_beta 90.00
_cell_angle_gamma 90.00
loop_
_atom_site_label
_atom_site_type_symbol
_atom_site_fract_x
_atom_site_fract_y
_atom_site_fract_z
Cs1 Cs 0.005 0.250 0.125
Cs2 Cs 0.250 0.505 0.375
Cs3 Cs 0.250 0.995 0.875
Cs4 Cs 0.495 0.250 0.625
Cs5 Cs 0.505 0.750 0.625
Cs6 Cs 0.750 0.005 0.875
Cs7 Cs 0.750 0.495 0.375
Cs8 Cs 0.995 0.750 0.125
Mg1 Mg 0.000 0.000 0.500
Mg2 Mg 0.000 0.500 0.750
Mg3 Mg 0.500 0.000 0.250
Mg4 Mg 0.500 0.500 0.000
Ir1 Ir 0.000 0.000 0.000
Ir2 Ir 0.000 0.500 0.250
Ir3 Ir 0.500 0.000 0.750
Ir4 Ir 0.500 0.500 0.500
```

---

Record 2
# ScTc3Ir, relaxed, DFT PBE
data_ScTc3Ir
_space_group_name_H-M_alt 'P 1'
_space_group_IT_number 1
_space_group_name_Hall 'P 1'
_cell_length_a 4.702
_cell_length_b 4.702
_cell_length_c 4.702
_cell_angle_alpha 90.00
_cell_angle_beta 90.00
_cell_angle_gamma 90.00
loop_
_atom_site_label
_atom_site_type_symbol
_atom_site_fract_x
_atom_site_fract_y
_atom_site_fract_z
Sc1 Sc 0.000 0.000 0.000
Tc1 Tc 0.000 0.500 0.500
Tc2 Tc 0.500 0.000 0.500
Tc3 Tc 0.500 0.500 0.000
Ir1 Ir 0.500 0.500 0.500
# * ΔE to the lowest computed polymorph: 0 meV/atom

---

Number 1: energy of formation 1.12 eV per atom. Number 2: energy of formation 1.22 eV per atom.